RbCa2MnI8 | Alexandria via LeMat-Bulk | PBE | relaxed; V = 44.24 A^3/atom; SG = No. 10; ρ = 3.9 Mg/m³; raw formation energy = -12.92 eV/f.u.; total magnetic moment = 4.00 μB/f.u.
1.0
7.797 0.245 -0.007
0.300 7.161 -0.010
0.006 0.009 9.520
I Mn Ca Rb
8 1 2 1
Direct
0.142 0.768 0.805 I
0.344 0.254 0.000 I
0.143 0.768 0.195 I
0.298 0.357 0.500 I
0.857 0.232 0.805 I
0.858 0.232 0.195 I
0.656 0.746 0.000 I
0.702 0.643 0.500 I
0.000 0.000 0.000 Mn
0.500 0.500 0.766 Ca
0.500 0.500 0.234 Ca
0.000 0.000 0.500 Rb